DFT (GGA-PBE) results for an optimized crystal structure of LiVSi.

Properties
- energy relative to the elements, uncorrected (eV/atom) = -0.195
- calculated density (g cm⁻³) = 3.571
- SG = No. 2

a b c (Å): 2.601 4.488 7.214
angles (deg): 73.09 86.76 83.03
Fractional coordinates of all 6 atoms:
Li: 0.200 0.738 0.006
Li: 0.800 0.262 0.994
V: 0.051 0.678 0.613
V: 0.949 0.322 0.387
Si: 0.498 0.128 0.706
Si: 0.502 0.872 0.294